This record from Alexandria describes a relaxed structure of ZrFeBr. The functional is PBE.

POSCAR file:
```
ZrFeBr
1.0
-5.459 -2.317 -0.153
-2.374 -4.819 -2.518
4.383 2.344 3.239
Br Zr Fe
1 1 1
direct
0.997 0.997 0.000 Br
0.691 0.691 0.000 Zr
0.313 0.313 0.000 Fe
```

## Properties
formation energy without anion corrections = 0.08 eV per atom
space-group type = I4mm
DFT total energy = -0.452 Ry/atom
crystal system = tetragonal